one.
ScAg2Br | SCAN | single point on PBEsol structure

Cell and atoms, written as CIF:
```
data_ScAg2Br
_chemical_formula_sum 'Sc1 Ag2 Br1'
_symmetry_space_group_name_H-M 'P 1 2/m 1'
_symmetry_Int_Tables_number 10
_symmetry_space_group_name_Hall '-P 2y'
_cell_length_a 3.2678
_cell_length_b 5.4605
_cell_length_c 4.4452
_cell_angle_alpha 90.00
_cell_angle_beta 91.19
_cell_angle_gamma 90.00
loop_
_atom_site_label
_atom_site_type_symbol
_atom_site_fract_x
_atom_site_fract_y
_atom_site_fract_z
Sc1 Sc 0.0000 0.0000 0.0000
Ag1 Ag 0.2505 0.5000 0.7555
Br1 Br 0.5000 0.0000 0.5000
```

two.
ScAg2Br | SCAN | single point on PBEsol structure

Cell and atoms, written as CIF:
```
data_ScAg2Br
_chemical_formula_sum 'Sc2 Ag4 Br2'
_symmetry_space_group_name_H-M 'I m m 2'
_symmetry_Int_Tables_number 44
_symmetry_space_group_name_Hall 'I 2 -2'
_cell_length_a 3.4063
_cell_length_b 5.1917
_cell_length_c 9.3393
_cell_angle_alpha 90.00
_cell_angle_beta 90.00
_cell_angle_gamma 90.00
loop_
_atom_site_label
_atom_site_type_symbol
_atom_site_fract_x
_atom_site_fract_y
_atom_site_fract_z
Sc1 Sc 0.0000 0.0000 0.0000
Ag1 Ag 0.0000 0.0000 0.5021
Ag2 Ag 0.0000 0.5000 0.2531
Br1 Br 0.0000 0.5000 0.7182
```

one (0.013 eV/atom below the next structure)

one.
MnCd2Ru | SCAN | single point on PBEsol structure

Cell and atoms, written as CIF:
```
data_MnCd2Ru
_chemical_formula_sum 'Mn2 Cd4 Ru2'
_symmetry_space_group_name_H-M 'I 4/m m m'
_symmetry_Int_Tables_number 139
_symmetry_space_group_name_Hall '-I 4 2'
_cell_length_a 3.9530
_cell_length_b 3.9530
_cell_length_c 8.2372
_cell_angle_alpha 90.00
_cell_angle_beta 90.00
_cell_angle_gamma 90.00
loop_
_atom_site_label
_atom_site_type_symbol
_atom_site_fract_x
_atom_site_fract_y
_atom_site_fract_z
Mn1 Mn 0.0000 0.0000 0.0000
Cd1 Cd 0.0000 0.5000 0.2500
Ru1 Ru 0.0000 0.0000 0.5000
```

two.
MnCd2Ru | SCAN | single point on PBEsol structure

Cell and atoms, written as CIF:
```
data_MnCd2Ru
_chemical_formula_sum 'Mn3 Cd6 Ru3'
_symmetry_space_group_name_H-M 'R 3 m'
_symmetry_Int_Tables_number 160
_symmetry_space_group_name_Hall 'R 3 -2"'
_cell_length_a 2.8454
_cell_length_b 2.8454
_cell_length_c 27.6582
_cell_angle_alpha 90.00
_cell_angle_beta 90.00
_cell_angle_gamma 120.00
loop_
_atom_site_label
_atom_site_type_symbol
_atom_site_fract_x
_atom_site_fract_y
_atom_site_fract_z
Mn1 Mn 0.0000 0.0000 0.0000
Cd1 Cd 0.0000 0.0000 0.2495
Cd2 Cd 0.0000 0.0000 0.4851
Ru1 Ru 0.0000 0.0000 0.7319
```

one (0.053 eV/atom below the next structure)

one.
Ag2IrBr | SCAN | single point on PBEsol structure

Cell and atoms, written as CIF:
```
data_Ag2IrBr
_chemical_formula_sum 'Ag2 Ir1 Br1'
_symmetry_space_group_name_H-M 'P m m m'
_symmetry_Int_Tables_number 47
_symmetry_space_group_name_Hall '-P 2 2'
_cell_length_a 3.0166
_cell_length_b 4.6356
_cell_length_c 4.8327
_cell_angle_alpha 90.00
_cell_angle_beta 90.00
_cell_angle_gamma 90.00
loop_
_atom_site_label
_atom_site_type_symbol
_atom_site_fract_x
_atom_site_fract_y
_atom_site_fract_z
Ag1 Ag 0.0000 0.0000 0.0000
Ag2 Ag 0.5000 0.5000 0.0000
Ir1 Ir 0.0000 0.5000 0.5000
Br1 Br 0.5000 0.0000 0.5000
```

two.
Ag2IrBr | SCAN | single point on PBEsol structure

Cell and atoms, written as CIF:
```
data_Ag2IrBr
_chemical_formula_sum 'Ag4 Ir2 Br2'
_symmetry_space_group_name_H-M 'I 4/m m m'
_symmetry_Int_Tables_number 139
_symmetry_space_group_name_Hall '-I 4 2'
_cell_length_a 3.9007
_cell_length_b 3.9007
_cell_length_c 8.9640
_cell_angle_alpha 90.00
_cell_angle_beta 90.00
_cell_angle_gamma 90.00
loop_
_atom_site_label
_atom_site_type_symbol
_atom_site_fract_x
_atom_site_fract_y
_atom_site_fract_z
Ag1 Ag 0.0000 0.5000 0.2500
Ir1 Ir 0.0000 0.0000 0.0000
Br1 Br 0.0000 0.0000 0.5000
```

one (0.105 eV/atom below the next structure)

one.
CdInRe | SCAN | single point on PBEsol structure

Cell and atoms, written as CIF:
```
data_CdInRe
_chemical_formula_sum 'Cd4 In4 Re4'
_symmetry_space_group_name_H-M 'F -4 3 m'
_symmetry_Int_Tables_number 216
_symmetry_space_group_name_Hall 'F -4 2 3'
_cell_length_a 6.3334
_cell_length_b 6.3334
_cell_length_c 6.3334
_cell_angle_alpha 90.00
_cell_angle_beta 90.00
_cell_angle_gamma 90.00
loop_
_atom_site_label
_atom_site_type_symbol
_atom_site_fract_x
_atom_site_fract_y
_atom_site_fract_z
Cd1 Cd 0.0000 0.0000 0.0000
In1 In 0.2500 0.2500 0.2500
Re1 Re 0.2500 0.2500 0.7500
```

two.
CdInRe | SCAN | single point on PBEsol structure

Cell and atoms, written as CIF:
```
data_CdInRe
_chemical_formula_sum 'Cd2 In2 Re2'
_symmetry_space_group_name_H-M 'I 4 m m'
_symmetry_Int_Tables_number 107
_symmetry_space_group_name_Hall 'I 4 -2'
_cell_length_a 2.8663
_cell_length_b 2.8663
_cell_length_c 13.5223
_cell_angle_alpha 90.00
_cell_angle_beta 90.00
_cell_angle_gamma 90.00
loop_
_atom_site_label
_atom_site_type_symbol
_atom_site_fract_x
_atom_site_fract_y
_atom_site_fract_z
Cd1 Cd 0.0000 0.0000 0.0000
In1 In 0.0000 0.0000 0.6907
Re1 Re 0.0000 0.0000 0.3457
```

two (0.636 eV/atom below the next structure)